No. 1
# GGA-PBE TeIrOs2, optimized geometry
# magnetic moment = 0.000 μB per atom
# crystal system = monoclinic
# DOS at the Fermi energy = 0.85 states/eV/atom
data_TeIrOs2
_chemical_formula_sum 'Te2 Ir2 Os4'
_cell_length_a 9.194
_cell_length_b 2.941
_cell_length_c 4.903
_cell_angle_alpha 90.00
_cell_angle_beta 98.82
_cell_angle_gamma 90.00
_space_group_name_H-M_alt 'C 1 m 1'
_space_group_IT_number 8
_space_group_name_Hall 'C -2y'
loop_
_atom_site_label
_atom_site_type_symbol
_atom_site_fract_x
_atom_site_fract_y
_atom_site_fract_z
Te1 Te 0.000 0.000 0.000
Ir1 Ir 0.239 0.000 0.728
Os1 Os 0.259 0.500 0.284
Os2 Os 0.496 0.000 0.490

---

No. 2
# GGA-PBE TeIrOs2, optimized geometry
# magnetic moment = 0.000 μB per atom
# crystal system = orthorhombic
# DOS at the Fermi energy = 0.59 states/eV/atom
data_TeIrOs2
_chemical_formula_sum 'Te1 Ir1 Os2'
_cell_length_a 2.908
_cell_length_b 3.802
_cell_length_c 5.995
_cell_angle_alpha 90.00
_cell_angle_beta 90.00
_cell_angle_gamma 90.00
_space_group_name_H-M_alt 'P m m 2'
_space_group_IT_number 25
_space_group_name_Hall 'P 2 -2'
loop_
_atom_site_label
_atom_site_type_symbol
_atom_site_fract_x
_atom_site_fract_y
_atom_site_fract_z
Te1 Te 0.000 0.000 0.000
Ir1 Ir 0.500 0.500 0.275
Os1 Os 0.000 0.000 0.511
Os2 Os 0.500 0.500 0.713

---

No. 3
# GGA-PBE Te2IrOs, optimized geometry
# magnetic moment = 0.000 μB per atom
# energy above the lowest structure with this stoichiometry = 882 meV/atom
# crystal system = orthorhombic
# DOS at the Fermi energy = 0.80 states/eV/atom
data_Te2IrOs
_chemical_formula_sum 'Te2 Ir1 Os1'
_cell_length_a 3.084
_cell_length_b 4.694
_cell_length_c 5.289
_cell_angle_alpha 90.00
_cell_angle_beta 90.00
_cell_angle_gamma 90.00
_space_group_name_H-M_alt 'P m m m'
_space_group_IT_number 47
_space_group_name_Hall '-P 2 2'
loop_
_atom_site_label
_atom_site_type_symbol
_atom_site_fract_x
_atom_site_fract_y
_atom_site_fract_z
Te1 Te 0.000 0.000 0.000
Te2 Te 0.500 0.000 0.500
Ir1 Ir 0.000 0.500 0.500
Os1 Os 0.500 0.500 0.000

---

No. 4
# GGA-PBE Te2IrOs, optimized geometry
# magnetic moment = 0.000 μB per atom
# energy above the lowest structure with this stoichiometry = 546 meV/atom
# crystal system = monoclinic
# DOS at the Fermi energy = 1.40 states/eV/atom
data_Te2IrOs
_chemical_formula_sum 'Te4 Ir2 Os2'
_cell_length_a 8.253
_cell_length_b 3.349
_cell_length_c 5.735
_cell_angle_alpha 90.00
_cell_angle_beta 103.55
_cell_angle_gamma 90.00
_space_group_name_H-M_alt 'C 1 2/m 1'
_space_group_IT_number 12
_space_group_name_Hall '-C 2y'
loop_
_atom_site_label
_atom_site_type_symbol
_atom_site_fract_x
_atom_site_fract_y
_atom_site_fract_z
Te1 Te 0.247 0.000 0.247
Ir1 Ir 0.000 0.000 0.500
Os1 Os 0.000 0.500 0.000

---

No. 5
# GGA-PBE TeIr2Os2, optimized geometry
# magnetic moment = 0.000 μB per atom
# energy above the lowest structure with this stoichiometry = 0 meV/atom
# crystal system = tetragonal
# DOS at the Fermi energy = 0.88 states/eV/atom
data_TeIr2Os2
_chemical_formula_sum 'Te2 Ir4 Os4'
_cell_length_a 7.760
_cell_length_b 7.760
_cell_length_c 2.792
_cell_angle_alpha 90.00
_cell_angle_beta 90.00
_cell_angle_gamma 90.00
_space_group_name_H-M_alt 'P 4/m b m'
_space_group_IT_number 127
_space_group_name_Hall '-P 4 2ab'
loop_
_atom_site_label
_atom_site_type_symbol
_atom_site_fract_x
_atom_site_fract_y
_atom_site_fract_z
Te1 Te 0.000 0.000 0.000
Ir1 Ir 0.174 0.326 0.000
Os1 Os 0.119 0.619 0.500

---

No. 6
# GGA-PBE TeIrOs2, optimized geometry
# magnetic moment = 0.538 μB per atom
# crystal system = cubic
# DOS at the Fermi energy = 1.37 states/eV/atom
data_TeIrOs2
_chemical_formula_sum 'Te4 Ir4 Os8'
_cell_length_a 6.427
_cell_length_b 6.427
_cell_length_c 6.427
_cell_angle_alpha 90.00
_cell_angle_beta 90.00
_cell_angle_gamma 90.00
_space_group_name_H-M_alt 'F -4 3 m'
_space_group_IT_number 216
_space_group_name_Hall 'F -4 2 3'
loop_
_atom_site_label
_atom_site_type_symbol
_atom_site_fract_x
_atom_site_fract_y
_atom_site_fract_z
Te1 Te 0.000 0.000 0.000
Ir1 Ir 0.250 0.250 0.750
Os1 Os 0.000 0.000 0.500
Os2 Os 0.250 0.250 0.250

---

No. 7
# GGA-PBE Te3IrOs, optimized geometry
# magnetic moment = 0.002 μB per atom
# crystal system = cubic
# DOS at the Fermi energy = 1.69 states/eV/atom
data_Te3IrOs
_chemical_formula_sum 'Te3 Ir1 Os1'
_cell_length_a 5.105
_cell_length_b 5.105
_cell_length_c 5.105
_cell_angle_alpha 90.00
_cell_angle_beta 90.00
_cell_angle_gamma 90.00
_space_group_name_H-M_alt 'P m -3 m'
_space_group_IT_number 221
_space_group_name_Hall '-P 4 2 3'
loop_
_atom_site_label
_atom_site_type_symbol
_atom_site_fract_x
_atom_site_fract_y
_atom_site_fract_z
Te1 Te 0.000 0.000 0.500
Ir1 Ir 0.500 0.500 0.500
Os1 Os 0.000 0.000 0.000

---

No. 8
# GGA-PBE TeIr2Os, optimized geometry
# magnetic moment = 0.000 μB per atom
# crystal system = monoclinic
# DOS at the Fermi energy = 0.63 states/eV/atom
data_TeIr2Os
_chemical_formula_sum 'Te2 Ir4 Os2'
_cell_length_a 9.083
_cell_length_b 2.927
_cell_length_c 5.085
_cell_angle_alpha 90.00
_cell_angle_beta 101.18
_cell_angle_gamma 90.00
_space_group_name_H-M_alt 'C 1 m 1'
_space_group_IT_number 8
_space_group_name_Hall 'C -2y'
loop_
_atom_site_label
_atom_site_type_symbol
_atom_site_fract_x
_atom_site_fract_y
_atom_site_fract_z
Te1 Te 0.000 0.000 0.000
Ir1 Ir 0.244 0.000 0.733
Ir2 Ir 0.492 0.000 0.492
Os1 Os 0.249 0.500 0.293

---

No. 9
# GGA-PBE Te2IrOs, optimized geometry
# magnetic moment = 0.000 μB per atom
# energy above the lowest structure with this stoichiometry = 624 meV/atom
# crystal system = orthorhombic
# DOS at the Fermi energy = 0.90 states/eV/atom
data_Te2IrOs
_chemical_formula_sum 'Te4 Ir2 Os2'
_cell_length_a 6.376
_cell_length_b 7.135
_cell_length_c 3.298
_cell_angle_alpha 90.00
_cell_angle_beta 90.00
_cell_angle_gamma 90.00
_space_group_name_H-M_alt 'C m m m'
_space_group_IT_number 65
_space_group_name_Hall '-C 2 2'
loop_
_atom_site_label
_atom_site_type_symbol
_atom_site_fract_x
_atom_site_fract_y
_atom_site_fract_z
Te1 Te 0.250 0.250 0.000
Ir1 Ir 0.000 0.000 0.500
Os1 Os 0.000 0.500 0.500

---

No. 10
# GGA-PBE TeIrOs2, optimized geometry
# magnetic moment = 0.205 μB per atom
# crystal system = tetragonal
# DOS at the Fermi energy = 1.27 states/eV/atom
data_TeIrOs2
_chemical_formula_sum 'Te1 Ir1 Os2'
_cell_length_a 4.703
_cell_length_b 4.703
_cell_length_c 2.933
_cell_angle_alpha 90.00
_cell_angle_beta 90.00
_cell_angle_gamma 90.00
_space_group_name_H-M_alt 'P 4/m m m'
_space_group_IT_number 123
_space_group_name_Hall '-P 4 2'
loop_
_atom_site_label
_atom_site_type_symbol
_atom_site_fract_x
_atom_site_fract_y
_atom_site_fract_z
Te1 Te 0.000 0.000 0.000
Ir1 Ir 0.500 0.500 0.000
Os1 Os 0.000 0.500 0.500

---

No. 11
# GGA-PBE TeIr3Os, optimized geometry
# magnetic moment = 0.000 μB per atom
# energy above the lowest structure with this stoichiometry = 0 meV/atom
# crystal system = cubic
# DOS at the Fermi energy = 1.22 states/eV/atom
data_TeIr3Os
_chemical_formula_sum 'Te1 Ir3 Os1'
_cell_length_a 4.768
_cell_length_b 4.768
_cell_length_c 4.768
_cell_angle_alpha 90.00
_cell_angle_beta 90.00
_cell_angle_gamma 90.00
_space_group_name_H-M_alt 'P m -3 m'
_space_group_IT_number 221
_space_group_name_Hall '-P 4 2 3'
loop_
_atom_site_label
_atom_site_type_symbol
_atom_site_fract_x
_atom_site_fract_y
_atom_site_fract_z
Te1 Te 0.000 0.000 0.000
Ir1 Ir 0.000 0.500 0.500
Os1 Os 0.500 0.500 0.500

---

No. 12
# GGA-PBE Te2IrOs, optimized geometry
# magnetic moment = 0.000 μB per atom
# energy above the lowest structure with this stoichiometry = 0 meV/atom
# crystal system = tetragonal
# DOS at the Fermi energy = 0.37 states/eV/atom
data_Te2IrOs
_chemical_formula_sum 'Te2 Ir1 Os1'
_cell_length_a 4.122
_cell_length_b 4.122
_cell_length_c 6.077
_cell_angle_alpha 90.00
_cell_angle_beta 90.00
_cell_angle_gamma 90.00
_space_group_name_H-M_alt 'P -4 m 2'
_space_group_IT_number 115
_space_group_name_Hall 'P -4 -2'
loop_
_atom_site_label
_atom_site_type_symbol
_atom_site_fract_x
_atom_site_fract_y
_atom_site_fract_z
Te1 Te 0.000 0.500 0.238
Ir1 Ir 0.500 0.500 0.500
Os1 Os 0.000 0.000 0.500

---

No. 13
# GGA-PBE Te2IrOs, optimized geometry
# magnetic moment = 0.000 μB per atom
# energy above the lowest structure with this stoichiometry = 322 meV/atom
# crystal system = tetragonal
# DOS at the Fermi energy = 0.71 states/eV/atom
data_Te2IrOs
_chemical_formula_sum 'Te2 Ir1 Os1'
_cell_length_a 3.224
_cell_length_b 3.224
_cell_length_c 8.407
_cell_angle_alpha 90.00
_cell_angle_beta 90.00
_cell_angle_gamma 90.00
_space_group_name_H-M_alt 'P 4 m m'
_space_group_IT_number 99
_space_group_name_Hall 'P 4 -2'
loop_
_atom_site_label
_atom_site_type_symbol
_atom_site_fract_x
_atom_site_fract_y
_atom_site_fract_z
Te1 Te 0.000 0.000 0.000
Te2 Te 0.500 0.500 0.426
Ir1 Ir 0.000 0.000 0.591
Os1 Os 0.500 0.500 0.827

---

No. 14
# GGA-PBE TeIrOs2, optimized geometry
# magnetic moment = 0.000 μB per atom
# crystal system = monoclinic
# DOS at the Fermi energy = 1.29 states/eV/atom
data_TeIrOs2
_chemical_formula_sum 'Te1 Ir1 Os2'
_cell_length_a 2.798
_cell_length_b 3.705
_cell_length_c 6.875
_cell_angle_alpha 90.00
_cell_angle_beta 90.07
_cell_angle_gamma 90.00
_space_group_name_H-M_alt 'P 1 m 1'
_space_group_IT_number 6
_space_group_name_Hall 'P -2y'
loop_
_atom_site_label
_atom_site_type_symbol
_atom_site_fract_x
_atom_site_fract_y
_atom_site_fract_z
Te1 Te 0.000 0.000 0.000
Ir1 Ir 0.001 0.500 0.700
Os1 Os 0.000 0.500 0.315
Os2 Os 0.500 0.000 0.493

---

No. 15
# GGA-PBE TeIrOs2, optimized geometry
# magnetic moment = 0.000 μB per atom
# crystal system = tetragonal
# DOS at the Fermi energy = 0.90 states/eV/atom
data_TeIrOs2
_chemical_formula_sum 'Te2 Ir2 Os4'
_cell_length_a 4.064
_cell_length_b 4.064
_cell_length_c 7.763
_cell_angle_alpha 90.00
_cell_angle_beta 90.00
_cell_angle_gamma 90.00
_space_group_name_H-M_alt 'I -4 m 2'
_space_group_IT_number 119
_space_group_name_Hall 'I -4 -2'
loop_
_atom_site_label
_atom_site_type_symbol
_atom_site_fract_x
_atom_site_fract_y
_atom_site_fract_z
Te1 Te 0.000 0.000 0.000
Ir1 Ir 0.000 0.500 0.750
Os1 Os 0.000 0.000 0.500
Os2 Os 0.000 0.500 0.250

---

No. 16
# GGA-PBE TeIrOs2, optimized geometry
# magnetic moment = 0.000 μB per atom
# crystal system = trigonal
# DOS at the Fermi energy = 1.40 states/eV/atom
data_TeIrOs2
_chemical_formula_sum 'Te3 Ir3 Os6'
_cell_length_a 2.9071
_cell_length_b 2.9071
_cell_length_c 27.0102
_cell_angle_alpha 90.00
_cell_angle_beta 90.00
_cell_angle_gamma 120.00
_space_group_name_H-M_alt 'R 3 m'
_space_group_IT_number 160
_space_group_name_Hall 'R 3 -2"'
loop_
_atom_site_label
_atom_site_type_symbol
_atom_site_fract_x
_atom_site_fract_y
_atom_site_fract_z
Te1 Te 0.0000 0.0000 0.0000
Ir1 Ir 0.0000 0.0000 0.2456
Os1 Os 0.0000 0.0000 0.4981
Os2 Os 0.0000 0.0000 0.7556

---

No. 17
# GGA-PBE TeIr2Os2, optimized geometry
# magnetic moment = 0.000 μB per atom
# energy above the lowest structure with this stoichiometry = 97 meV/atom
# crystal system = tetragonal
# DOS at the Fermi energy = 0.89 states/eV/atom
data_TeIr2Os2
_chemical_formula_sum 'Te2 Ir4 Os4'
_cell_length_a 3.660
_cell_length_b 3.660
_cell_length_c 13.078
_cell_angle_alpha 90.00
_cell_angle_beta 90.00
_cell_angle_gamma 90.00
_space_group_name_H-M_alt 'I 4/m m m'
_space_group_IT_number 139
_space_group_name_Hall '-I 4 2'
loop_
_atom_site_label
_atom_site_type_symbol
_atom_site_fract_x
_atom_site_fract_y
_atom_site_fract_z
Te1 Te 0.000 0.000 0.000
Ir1 Ir 0.000 0.000 0.397
Os1 Os 0.000 0.500 0.250

---

No. 18
# GGA-PBE TeIr2Os, optimized geometry
# magnetic moment = 0.000 μB per atom
# crystal system = orthorhombic
# DOS at the Fermi energy = 1.47 states/eV/atom
data_TeIr2Os
_chemical_formula_sum 'Te2 Ir4 Os2'
_cell_length_a 2.822
_cell_length_b 4.980
_cell_length_c 9.648
_cell_angle_alpha 90.00
_cell_angle_beta 90.00
_cell_angle_gamma 90.00
_space_group_name_H-M_alt 'C m m 2'
_space_group_IT_number 35
_space_group_name_Hall 'C 2 -2'
loop_
_atom_site_label
_atom_site_type_symbol
_atom_site_fract_x
_atom_site_fract_y
_atom_site_fract_z
Te1 Te 0.000 0.000 0.000
Ir1 Ir 0.000 0.000 0.501
Ir2 Ir 0.000 0.500 0.261
Os1 Os 0.000 0.500 0.730

---

No. 19
# GGA-PBE TeIrOs2, optimized geometry
# magnetic moment = 0.000 μB per atom
# crystal system = monoclinic
# DOS at the Fermi energy = 0.64 states/eV/atom
data_TeIrOs2
_chemical_formula_sum 'Te2 Ir2 Os4'
_cell_length_a 9.029
_cell_length_b 2.919
_cell_length_c 5.107
_cell_angle_alpha 90.00
_cell_angle_beta 101.98
_cell_angle_gamma 90.00
_space_group_name_H-M_alt 'C 1 2/m 1'
_space_group_IT_number 12
_space_group_name_Hall '-C 2y'
loop_
_atom_site_label
_atom_site_type_symbol
_atom_site_fract_x
_atom_site_fract_y
_atom_site_fract_z
Te1 Te 0.000 0.000 0.000
Ir1 Ir 0.000 0.500 0.500
Os1 Os 0.248 0.000 0.717

---

No. 20
# GGA-PBE TeIrOs2, optimized geometry
# magnetic moment = 0.000 μB per atom
# crystal system = orthorhombic
# DOS at the Fermi energy = 1.09 states/eV/atom
data_TeIrOs2
_chemical_formula_sum 'Te2 Ir2 Os4'
_cell_length_a 5.782
_cell_length_b 7.568
_cell_length_c 2.929
_cell_angle_alpha 90.00
_cell_angle_beta 90.00
_cell_angle_gamma 90.00
_space_group_name_H-M_alt 'C m m m'
_space_group_IT_number 65
_space_group_name_Hall '-C 2 2'
loop_
_atom_site_label
_atom_site_type_symbol
_atom_site_fract_x
_atom_site_fract_y
_atom_site_fract_z
Te1 Te 0.000 0.000 0.000
Ir1 Ir 0.000 0.500 0.000
Os1 Os 0.250 0.250 0.500

---

Values for raw formation energy, meV per atom, ordered as above
648; 620; 1024; 688; 480; 1014; 1443; 539; 766; 857; 1645; 142; 465; 529; 744; 689; 577; 885; 652; 753